#A
The following is a PBE-GGA calculation of crystalline La3PrHo2 at its relaxed geometry, from the Alexandria database.

```
La3PrHo2
1.0
9.5847 -3.3077 0.0000
9.5847 3.3077 0.0000
-2.7723 0.0000 6.7498
La Pr Ho
6 2 4
direct
0.1735 0.1851 0.9298
0.1851 0.1735 0.4298
0.2346 0.7654 0.7500
0.7654 0.2346 0.2500
0.8149 0.8265 0.5702
0.8265 0.8149 0.0702
0.2641 0.7359 0.2500
0.7359 0.2641 0.7500
0.3530 0.3530 0.3530
0.3530 0.3530 0.8530
0.6470 0.6470 0.1470
0.6470 0.6470 0.6470
```

---

#B
The following is a PBE-GGA calculation of crystalline La3PrHo2 at its relaxed geometry, from the Alexandria database.

```
La3PrHo2
1.0
-1.7537 3.0272 9.9386
1.7537 -3.0272 9.9386
1.7537 3.0272 -9.9386
La Pr Ho
3 1 2
direct
0.0000 0.0000 0.0000
0.3107 0.8107 0.5000
0.6893 0.1893 0.5000
0.5000 0.0000 0.5000
0.1376 0.6376 0.5000
0.8624 0.3624 0.5000
```

---

It turns out #A is the most stable, with the second structure 156 meV per atom higher.

---

#A
The following is a PBE-GGA calculation of crystalline LaPr4Ho3 at its relaxed geometry, from the Alexandria database.

```
LaPr4Ho3
1.0
-1.7623 5.9182 6.6067
1.7623 -5.9182 6.6067
1.7623 5.9182 -6.6067
La Pr Ho
1 4 3
direct
0.0000 0.0000 0.0000
0.1177 0.8668 0.2509
0.3842 0.1332 0.2509
0.6158 0.8668 0.7491
0.8823 0.1332 0.7491
0.2400 0.7400 0.5000
0.5000 0.5000 0.0000
0.7600 0.2600 0.5000
```

---

#B
The following is a PBE-GGA calculation of crystalline LaPr4Ho3 at its relaxed geometry, from the Alexandria database.

```
LaPr4Ho3
1.0
11.7667 0.0000 0.0000
0.0000 7.3965 0.0000
0.0000 0.0000 6.3757
La Pr Ho
2 8 6
direct
0.0000 0.1258 0.0000
0.5000 0.8742 0.5000
0.0000 0.3700 0.5079
0.0000 0.6304 0.9939
0.2449 0.6261 0.3366
0.2551 0.3739 0.8366
0.5000 0.3696 0.4939
0.5000 0.6300 0.0079
0.7449 0.3739 0.8366
0.7551 0.6261 0.3366
0.0000 0.8782 0.5003
0.2498 0.1201 0.3339
0.2502 0.8799 0.8339
0.5000 0.1218 0.0003
0.7502 0.1201 0.3339
0.7498 0.8799 0.8339
```

---

It turns out #B is the most stable, with the second structure 94 meV per atom higher.

---

#A
The following is a PBE-GGA calculation of crystalline La2PrHo2 at its relaxed geometry, from the Alexandria database.

```
La2PrHo2
1.0
-5.3649 5.3649 3.2030
5.3649 -5.3649 3.2030
5.3649 5.3649 -3.2030
La Pr Ho
4 2 4
direct
0.1090 0.6090 0.7181
0.3910 0.1090 0.5000
0.6090 0.8910 0.5000
0.8910 0.3910 0.2819
0.2500 0.2500 0.0000
0.7500 0.7500 0.0000
0.1897 0.3103 0.5000
0.3103 0.8103 0.1207
0.6897 0.1897 0.8793
0.8103 0.6897 0.5000
```

---

#B
The following is a PBE-GGA calculation of crystalline La2PrHo2 at its relaxed geometry, from the Alexandria database.

```
La2PrHo2
1.0
5.7709 0.0000 0.0000
-2.8855 4.9978 0.0000
0.0000 0.0000 12.2810
La Pr Ho
4 2 4
direct
0.3333 0.6667 0.1007
0.3333 0.6667 0.3993
0.6667 0.3333 0.6007
0.6667 0.3333 0.8993
0.0000 0.0000 0.2500
0.0000 0.0000 0.7500
0.0000 0.0000 0.0000
0.0000 0.0000 0.5000
0.3333 0.6667 0.7500
0.6667 0.3333 0.2500
```

---

It turns out #B is the most stable, with the second structure 237 meV per atom higher.

---

#A
The following is a PBE-GGA calculation of crystalline LaPr2Ho at its relaxed geometry, from the Alexandria database.

```
LaPr2Ho
1.0
0.0000 4.1385 4.1385
4.1385 0.0000 4.1385
4.1385 4.1385 0.0000
La Pr Ho
1 2 1
direct
0.0000 0.0000 0.0000
0.2500 0.2500 0.2500
0.7500 0.7500 0.7500
0.5000 0.5000 0.5000
```

---

#B
The following is a PBE-GGA calculation of crystalline LaPr2Ho at its relaxed geometry, from the Alexandria database.

```
LaPr2Ho
1.0
1.8372 1.0607 12.0229
-1.8372 1.0607 12.0229
0.0000 -2.1215 12.0229
La Pr Ho
1 2 1
direct
0.0000 0.0000 0.0000
0.5811 0.5811 0.5811
0.7532 0.7532 0.7532
0.1671 0.1671 0.1671
```

---

#C
The following is a PBE-GGA calculation of crystalline LaPr2Ho at its relaxed geometry, from the Alexandria database.

```
LaPr2Ho
1.0
4.2865 0.0000 0.0000
0.0000 4.2865 0.0000
0.0000 0.0000 7.6827
La Pr Ho
1 2 1
direct
0.0000 0.0000 0.0000
0.5000 0.5000 0.2659
0.5000 0.5000 0.7341
0.0000 0.0000 0.5000
```

---

It turns out #B is the most stable, with the second structure 89 meV per atom higher.